# 1
Entry from the Alexandria database: an optimized crystal structure of YEr8Cd2 (GGA-PBE).

- Mass density: 8.24 g/cm³
- ΔH_f (0 K): 1.032 kcal/mol of atoms

Lattice parameters (Å, degrees): 8.7404 14.9429 5.5071 90.00 112.23 90.00
Last column: nearest neighbours and their distance in Å.
Space group C2/m (No. 12)
Inequivalent atoms, fractional coordinates:
Y: 0.0000 0.0000 0.0000 (multiplicity 2)  8 Er 3.24-3.60
Er: 0.0000 0.2205 0.0000 (multiplicity 4)  2 Cd 3.04, 1 Y 3.30
Er: 0.1001 0.5000 0.7987 (multiplicity 4)  2 Er 3.09-3.30, 1 Y 3.24, 2 Cd 3.28
Er: 0.2071 0.1133 0.6144 (multiplicity 8)  2 Cd 3.10-3.34, 3 Er 3.35-3.47
Cd: 0.0000 0.3065 0.5000 (multiplicity 4)  8 Er 3.04-3.34

***

# 2
Entry from the Alexandria database: an optimized crystal structure of Y8Er6Cd (GGA-PBE).

- Mass density: 6.26 g/cm³
- ΔH_f (0 K): 2.225 kcal/mol of atoms

Lattice parameters (Å, degrees): 9.9018 9.9018 5.7122 90.00 90.00 120.00
Last column: nearest neighbours and their distance in Å.
Space group P-3 (No. 147)
Inequivalent atoms, fractional coordinates:
Y: 0.0497 0.7789 0.2726 (multiplicity 6)  1 Cd 2.92
Y: 0.3333 0.6667 0.2659 (multiplicity 2)  3 Y 3.50, 9 Er 3.59-3.72
Er: 0.0928 0.6169 0.7656 (multiplicity 6)  7 Y 3.37-3.74, 4 Er 3.41-3.77
Cd: 0.0000 0.0000 0.0000 (multiplicity 1)  6 Y 2.92

***

# 3
Entry from the Alexandria database: an optimized crystal structure of Y12Er7Cd (GGA-PBE).

- Mass density: 6.23 g/cm³
- ΔH_f (0 K): 1.337 kcal/mol of atoms

Lattice parameters (Å, degrees): 13.3745 13.3745 12.1318 90.00 90.00 120.00
Last column: nearest neighbours and their distance in Å.
Space group R-3m (No. 166, hexagonal axes)
Inequivalent atoms, fractional coordinates:
Y: 0.0000 0.2607 0.0000 (multiplicity 18)  6 Y 3.38-3.55, 5 Er 3.43-3.58
Y: 0.0875 0.1749 0.7585 (multiplicity 18)  6 Y 3.38-3.55, 1 Er 3.56, 1 Cd 3.73
Er: 0.0000 0.0000 0.0000 (multiplicity 3)  12 Y 3.49-3.56
Er: 0.0529 0.5264 0.1214 (multiplicity 18)  3 Er 3.19-3.43, 1 Cd 3.29, 2 Y 3.43
Cd: 0.0000 0.0000 0.5000 (multiplicity 3)  6 Er 3.29